1.
# Li2HgAs2, relaxed, DFT GGA-PBE
data_Li2HgAs2
_space_group_name_H-M_alt 'P 1'
_space_group_IT_number 1
_cell_length_a 8.1500
_cell_length_b 8.1500
_cell_length_c 2.8660
_cell_angle_alpha 90.00
_cell_angle_beta 90.00
_cell_angle_gamma 90.00
loop_
_space_group_symop_operation_xyz
'x,y,z'
loop_
_atom_site_label
_atom_site_type_symbol
_atom_site_fract_x
_atom_site_fract_y
_atom_site_fract_z
_atom_site_occupancy
Li1 Li 0.1706 0.3294 0.0000 1
Li2 Li 0.3294 0.8294 0.0000 1
Li3 Li 0.6706 0.1706 0.0000 1
Li4 Li 0.8294 0.6706 0.0000 1
Hg1 Hg 0.0000 0.0000 0.5000 1
Hg2 Hg 0.5000 0.5000 0.5000 1
As1 As 0.1162 0.6162 0.5000 1
As2 As 0.3838 0.1162 0.5000 1
As3 As 0.6162 0.8838 0.5000 1
As4 As 0.8838 0.3838 0.5000 1
# mass density: 6.36 g/cm³
# space-group type: P4/mbm, No. 127
# N(E_F): 2.1 states/eV/f.u.
# ΔE_f: -0.272 eV per atom
# magnetization: 0.0 μB/f.u.
# calculated total energy: -29.6 eV per cell
# distance to the lowest polymorph of the same formula: 0.0000 eV per atom

***

2.
# Na2ZrPd2, relaxed, DFT GGA-PBE
data_Na2ZrPd2
_space_group_name_H-M_alt 'P 1'
_space_group_IT_number 1
_cell_length_a 8.1142
_cell_length_b 8.1142
_cell_length_c 2.9461
_cell_angle_alpha 90.00
_cell_angle_beta 90.00
_cell_angle_gamma 90.00
loop_
_space_group_symop_operation_xyz
'x,y,z'
loop_
_atom_site_label
_atom_site_type_symbol
_atom_site_fract_x
_atom_site_fract_y
_atom_site_fract_z
_atom_site_occupancy
Na1 Na 0.1169 0.3831 0.0000 1
Na2 Na 0.3831 0.8831 0.0000 1
Na3 Na 0.6169 0.1169 0.0000 1
Na4 Na 0.8831 0.6169 0.0000 1
Zr1 Zr 0.0000 0.0000 0.5000 1
Zr2 Zr 0.5000 0.5000 0.5000 1
Pd1 Pd 0.1850 0.6850 0.5000 1
Pd2 Pd 0.3150 0.1850 0.5000 1
Pd3 Pd 0.6850 0.8150 0.5000 1
Pd4 Pd 0.8150 0.3150 0.5000 1
# mass density: 5.99 g/cm³
# space-group type: P4/mbm, No. 127
# N(E_F): 2.9 states/eV/f.u.
# ΔE_f: 0.048 eV per atom
# magnetization: 0.0 μB/f.u.
# calculated total energy: -42.7 eV per cell

***

3.
# Ru3Pt4, relaxed, DFT GGA-PBE
data_Ru3Pt4
_space_group_name_H-M_alt 'P 1'
_space_group_IT_number 1
_cell_length_a 5.0400
_cell_length_b 5.0400
_cell_length_c 4.9959
_cell_angle_alpha 90.00
_cell_angle_beta 90.00
_cell_angle_gamma 120.00
loop_
_space_group_symop_operation_xyz
'x,y,z'
loop_
_atom_site_label
_atom_site_type_symbol
_atom_site_fract_x
_atom_site_fract_y
_atom_site_fract_z
_atom_site_occupancy
Ru1 Ru 0.0000 0.5000 0.0000 1
Ru2 Ru 0.5000 0.0000 0.0000 1
Ru3 Ru 0.5000 0.5000 0.0000 1
Pt1 Pt 0.0000 0.0000 0.2539 1
Pt2 Pt 0.0000 0.0000 0.7461 1
Pt3 Pt 0.3333 0.6667 0.5000 1
Pt4 Pt 0.6667 0.3333 0.5000 1
# mass density: 16.37 g/cm³
# space-group type: P6/mmm, No. 191
# N(E_F): 10.5 states/eV/f.u.
# ΔE_f: 0.363 eV per atom
# magnetization: 3.2 μB/f.u.
# calculated total energy: -49.4 eV per cell
# distance to the lowest polymorph of the same formula: 0.1847 eV per atom

***

4.
# Mg2AlCl8, relaxed, DFT GGA-PBE
data_Mg2AlCl8
_space_group_name_H-M_alt 'P 1'
_space_group_IT_number 1
_cell_length_a 8.1231
_cell_length_b 8.1231
_cell_length_c 6.2062
_cell_angle_alpha 91.45
_cell_angle_beta 91.45
_cell_angle_gamma 48.95
loop_
_space_group_symop_operation_xyz
'x,y,z'
loop_
_atom_site_label
_atom_site_type_symbol
_atom_site_fract_x
_atom_site_fract_y
_atom_site_fract_z
_atom_site_occupancy
Mg1 Mg 0.1502 0.1502 0.1006 1
Mg2 Mg 0.8498 0.8498 0.8994 1
Al1 Al 0.0000 0.0000 0.5000 1
Cl1 Cl 0.1403 0.1403 0.7138 1
Cl2 Cl 0.1798 0.6971 0.7170 1
Cl3 Cl 0.3029 0.8202 0.2830 1
Cl4 Cl 0.3052 0.3052 0.1722 1
Cl5 Cl 0.6948 0.6948 0.8278 1
Cl6 Cl 0.6971 0.1798 0.7170 1
Cl7 Cl 0.8202 0.3029 0.2830 1
Cl8 Cl 0.8597 0.8597 0.2862 1
# mass density: 1.93 g/cm³
# space-group type: C2/m, No. 12
# N(E_F): 6.6 states/eV/f.u.
# magnetization: 1.1 μB/f.u.
# calculated total energy: -36.9 eV per cell
# raw formation energy: -1.385 eV per atom

***

5.
# NpIO, relaxed, DFT GGA-PBE
data_NpIO
_space_group_name_H-M_alt 'P 1'
_space_group_IT_number 1
_cell_length_a 3.8955
_cell_length_b 3.8955
_cell_length_c 5.2661
_cell_angle_alpha 90.00
_cell_angle_beta 90.00
_cell_angle_gamma 120.00
loop_
_space_group_symop_operation_xyz
'x,y,z'
loop_
_atom_site_label
_atom_site_type_symbol
_atom_site_fract_x
_atom_site_fract_y
_atom_site_fract_z
_atom_site_occupancy
Np1 Np 0.0000 0.0000 0.0000 1
I1 I 0.6667 0.3333 0.5000 1
O1 O 0.3333 0.6667 0.0000 1
# mass density: 9.12 g/cm³
# space-group type: P-6m2, No. 187
# N(E_F): 8.1 states/eV/f.u.
# magnetization: 4.0 μB/f.u.
# calculated total energy: -25.0 eV per cell
# raw formation energy: -1.839 eV per atom

***

6.
# Ce4HgPt, relaxed, DFT GGA-PBE
data_Ce4HgPt
_space_group_name_H-M_alt 'P 1'
_space_group_IT_number 1
_cell_length_a 8.2056
_cell_length_b 8.2056
_cell_length_c 7.1436
_cell_angle_alpha 110.33
_cell_angle_beta 110.33
_cell_angle_gamma 112.74
loop_
_space_group_symop_operation_xyz
'x,y,z'
loop_
_atom_site_label
_atom_site_type_symbol
_atom_site_fract_x
_atom_site_fract_y
_atom_site_fract_z
_atom_site_occupancy
Ce1 Ce 0.0229 0.5367 0.7177 1
Ce2 Ce 0.2173 0.2857 0.2503 1
Ce3 Ce 0.2857 0.2173 0.7503 1
Ce4 Ce 0.4633 0.9771 0.7823 1
Ce5 Ce 0.5367 0.0229 0.2177 1
Ce6 Ce 0.7143 0.7827 0.2497 1
Ce7 Ce 0.7827 0.7143 0.7497 1
Ce8 Ce 0.9771 0.4633 0.2823 1
Hg1 Hg 0.1401 0.8599 0.2500 1
Hg2 Hg 0.8599 0.1401 0.7500 1
Pt1 Pt 0.4032 0.5968 0.7500 1
Pt2 Pt 0.5968 0.4032 0.2500 1
# mass density: 9.19 g/cm³
# space-group type: C2/c, No. 15
# N(E_F): 17.4 states/eV/f.u.
# ΔE_f: -0.280 eV per atom
# magnetization: 2.2 μB/f.u.
# calculated total energy: -63.5 eV per cell

***

7.
# Ta2V5Ga3, relaxed, DFT GGA-PBE
data_Ta2V5Ga3
_space_group_name_H-M_alt 'P 1'
_space_group_IT_number 1
_cell_length_a 5.1219
_cell_length_b 7.6401
_cell_length_c 8.0335
_cell_angle_alpha 72.42
_cell_angle_beta 86.30
_cell_angle_gamma 89.99
loop_
_space_group_symop_operation_xyz
'x,y,z'
loop_
_atom_site_label
_atom_site_type_symbol
_atom_site_fract_x
_atom_site_fract_y
_atom_site_fract_z
_atom_site_occupancy
Ta1 Ta 0.1251 0.3816 0.1215 1
Ta2 Ta 0.3626 0.1221 0.3745 1
Ta3 Ta 0.6374 0.8779 0.6255 1
Ta4 Ta 0.8749 0.6184 0.8785 1
V1 V 0.0444 0.6805 0.2346 1
V2 V 0.1100 0.0250 0.6950 1
V3 V 0.2706 0.4221 0.4907 1
V4 V 0.3248 0.7712 0.9368 1
V5 V 0.4956 0.8208 0.2713 1
V6 V 0.5044 0.1792 0.7287 1
V7 V 0.6752 0.2288 0.0632 1
V8 V 0.7294 0.5779 0.5093 1
V9 V 0.8900 0.9750 0.3050 1
V10 V 0.9556 0.3195 0.7654 1
Ga1 Ga 0.1585 0.7481 0.5484 1
Ga2 Ga 0.2191 0.0689 0.0308 1
Ga3 Ga 0.4153 0.4907 0.7966 1
Ga4 Ga 0.5847 0.5093 0.2034 1
Ga5 Ga 0.7809 0.9311 0.9692 1
Ga6 Ga 0.8415 0.2519 0.4516 1
# mass density: 9.17 g/cm³
# space-group type: P-1, No. 2
# N(E_F): 10.0 states/eV/f.u.
# ΔE_f: -0.102 eV per atom
# magnetization: 0.0 μB/f.u.
# calculated total energy: -158.8 eV per cell

***

8.
# Ti2ZnMo, relaxed, DFT GGA-PBE
data_Ti2ZnMo
_space_group_name_H-M_alt 'P 1'
_space_group_IT_number 1
_cell_length_a 5.8306
_cell_length_b 5.8306
_cell_length_c 5.8306
_cell_angle_alpha 152.86
_cell_angle_beta 132.32
_cell_angle_gamma 55.73
loop_
_space_group_symop_operation_xyz
'x,y,z'
loop_
_atom_site_label
_atom_site_type_symbol
_atom_site_fract_x
_atom_site_fract_y
_atom_site_fract_z
_atom_site_occupancy
Ti1 Ti 0.2478 0.2478 0.0000 1
Ti2 Ti 0.7522 0.7522 0.0000 1
Zn1 Zn 0.0000 0.0000 0.0000 1
Mo1 Mo 0.5000 0.5000 0.0000 1
# mass density: 6.42 g/cm³
# space-group type: Immm, No. 71
# N(E_F): 2.4 states/eV/f.u.
# ΔE_f: 0.340 eV per atom
# magnetization: 0.0 μB/f.u.
# calculated total energy: -26.5 eV per cell

***

9.
# ScBi3Br, relaxed, DFT GGA-PBE
data_ScBi3Br
_space_group_name_H-M_alt 'P 1'
_space_group_IT_number 1
_cell_length_a 5.6080
_cell_length_b 5.6080
_cell_length_c 5.6080
_cell_angle_alpha 90.00
_cell_angle_beta 90.00
_cell_angle_gamma 90.00
loop_
_space_group_symop_operation_xyz
'x,y,z'
loop_
_atom_site_label
_atom_site_type_symbol
_atom_site_fract_x
_atom_site_fract_y
_atom_site_fract_z
_atom_site_occupancy
Sc1 Sc 0.0000 0.0000 0.0000 1
Bi1 Bi 0.0000 0.5000 0.5000 1
Bi2 Bi 0.5000 0.0000 0.5000 1
Bi3 Bi 0.5000 0.5000 0.0000 1
Br1 Br 0.5000 0.5000 0.5000 1
# mass density: 7.08 g/cm³
# space-group type: Pm-3m, No. 221
# N(E_F): 4.4 states/eV/f.u.
# magnetization: 0.0 μB/f.u.
# calculated total energy: -16.5 eV per cell
# distance to the lowest polymorph of the same formula: 0.5651 eV per atom
# raw formation energy: 0.622 eV per atom

***

Copy entry 2 word for word.
# Na2ZrPd2, relaxed, DFT GGA-PBE
data_Na2ZrPd2
_space_group_name_H-M_alt 'P 1'
_space_group_IT_number 1
_cell_length_a 8.1142
_cell_length_b 8.1142
_cell_length_c 2.9461
_cell_angle_alpha 90.00
_cell_angle_beta 90.00
_cell_angle_gamma 90.00
loop_
_space_group_symop_operation_xyz
'x,y,z'
loop_
_atom_site_label
_atom_site_type_symbol
_atom_site_fract_x
_atom_site_fract_y
_atom_site_fract_z
_atom_site_occupancy
Na1 Na 0.1169 0.3831 0.0000 1
Na2 Na 0.3831 0.8831 0.0000 1
Na3 Na 0.6169 0.1169 0.0000 1
Na4 Na 0.8831 0.6169 0.0000 1
Zr1 Zr 0.0000 0.0000 0.5000 1
Zr2 Zr 0.5000 0.5000 0.5000 1
Pd1 Pd 0.1850 0.6850 0.5000 1
Pd2 Pd 0.3150 0.1850 0.5000 1
Pd3 Pd 0.6850 0.8150 0.5000 1
Pd4 Pd 0.8150 0.3150 0.5000 1
# mass density: 5.99 g/cm³
# space-group type: P4/mbm, No. 127
# N(E_F): 2.9 states/eV/f.u.
# ΔE_f: 0.048 eV per atom
# magnetization: 0.0 μB/f.u.
# calculated total energy: -42.7 eV per cell

***

Question: Which value of calculated total energy does entry 5 give?
Answer: -25.0 eV per cell